Entry 1:
{"formula": "CoPb3Br", "functional": "PBE", "state": "relaxed", "lattice": [[-3.249, 3.398, 2.150], [0.354, -2.512, 4.504], [4.005, 2.978, 1.346]], "species": ["Pb", "Pb", "Pb", "Co", "Br"], "fractional_positions": [[0.000, 0.500, 0.000], [0.000, 0.000, 0.500], [0.500, 0.000, 0.000], [0.000, 0.000, 0.000], [0.500, 0.500, 0.500]], "de_polymorph_ev_per_atom": 0.000, "rho_g_cm3": 9.143, "m_tot_mub_per_fu": 0.0, "e_form_raw_mev_per_atom": -6}

Entry 2:
{"formula": "Co2PbBr6", "functional": "PBE", "state": "relaxed", "lattice": [[4.046, 0.000, 0.000], [-2.023, 6.829, -0.719], [0.000, -0.217, 11.383]], "species": ["Co", "Co", "Pb", "Br", "Br", "Br", "Br", "Br", "Br"], "fractional_positions": [[0.291, 0.581, 0.771], [0.709, 0.419, 0.229], [0.000, 0.000, 0.500], [0.117, 0.235, 0.744], [0.152, 0.303, 0.123], [0.848, 0.697, 0.877], [0.357, 0.713, 0.583], [0.643, 0.287, 0.417], [0.883, 0.765, 0.256]], "rho_g_cm3": 4.256, "m_tot_mub_per_fu": 6.0, "e_form_raw_mev_per_atom": -450}

Entry 3:
{"formula": "CoPbBr4", "functional": "PBE", "state": "relaxed", "lattice": [[6.963, 0.225, 0.000], [-2.589, 6.467, 0.000], [0.000, 0.000, 9.275]], "species": ["Co", "Co", "Pb", "Pb", "Br", "Br", "Br", "Br", "Br", "Br", "Br", "Br"], "fractional_positions": [[0.636, 0.364, 0.750], [0.364, 0.636, 0.250], [0.000, 0.000, 0.500], [0.000, 0.000, 0.000], [0.737, 0.745, 0.250], [0.263, 0.255, 0.750], [0.745, 0.737, 0.750], [0.255, 0.263, 0.250], [0.264, 0.736, 0.027], [0.736, 0.264, 0.527], [0.736, 0.264, 0.973], [0.264, 0.736, 0.473]], "de_polymorph_ev_per_atom": 0.000, "rho_g_cm3": 4.598, "m_tot_mub_per_fu": 3.0, "e_form_raw_mev_per_atom": -562}

Entry 4:
{"formula": "CoPb2Br6", "functional": "PBE", "state": "relaxed", "lattice": [[-3.377, -3.219, 3.940], [-3.740, -3.117, -10.069], [10.331, -4.124, 1.168]], "species": ["Co", "Co", "Pb", "Pb", "Pb", "Pb", "Br", "Br", "Br", "Br", "Br", "Br", "Br", "Br", "Br", "Br", "Br", "Br"], "fractional_positions": [[0.250, 0.169, 0.831], [0.750, 0.831, 0.169], [0.617, 0.546, 0.751], [0.883, 0.249, 0.454], [0.383, 0.454, 0.249], [0.117, 0.751, 0.546], [0.601, 0.702, 0.543], [0.899, 0.457, 0.298], [0.399, 0.298, 0.457], [0.101, 0.543, 0.702], [0.102, 0.884, 0.358], [0.398, 0.642, 0.116], [0.898, 0.116, 0.642], [0.602, 0.358, 0.884], [0.877, 0.799, 0.979], [0.623, 0.021, 0.201], [0.123, 0.201, 0.021], [0.377, 0.979, 0.799]], "rho_g_cm3": 4.788, "m_tot_mub_per_fu": 3.0, "e_form_raw_mev_per_atom": -669}

Entry 5:
{"formula": "CoPbBr4", "functional": "PBE", "state": "relaxed", "lattice": [[-0.350, -4.160, 4.741], [-5.227, -3.458, 0.788], [0.098, -6.196, -1.222]], "species": ["Co", "Pb", "Br", "Br", "Br", "Br"], "fractional_positions": [[0.750, 0.750, 0.750], [0.000, 0.000, 0.000], [0.872, 0.376, 0.376], [0.376, 0.376, 0.872], [0.376, 0.872, 0.376], [0.376, 0.376, 0.376]], "de_polymorph_ev_per_atom": 1.344, "rho_g_cm3": 5.458, "m_tot_mub_per_fu": 3.6, "e_form_raw_mev_per_atom": 782}

Entry 6:
{"formula": "Co2PbBr8", "functional": "PBE", "state": "relaxed", "lattice": [[-6.538, 1.457, -0.754], [-1.057, -4.174, -7.130], [-2.860, -7.586, 1.909]], "species": ["Co", "Co", "Pb", "Br", "Br", "Br", "Br", "Br", "Br", "Br", "Br"], "fractional_positions": [[0.642, 0.801, 0.801], [0.358, 0.199, 0.199], [0.000, 0.000, 0.000], [0.252, 0.298, 0.922], [0.748, 0.078, 0.702], [0.294, 0.805, 0.805], [0.706, 0.195, 0.195], [0.252, 0.922, 0.298], [0.748, 0.702, 0.078], [0.788, 0.638, 0.638], [0.212, 0.362, 0.362]], "rho_g_cm3": 3.629, "m_tot_mub_per_fu": 8.0, "e_form_raw_mev_per_atom": -419}

Entry 7:
{"formula": "CoPb3Br", "functional": "PBE", "state": "relaxed", "lattice": [[5.684, 0.000, 0.000], [0.000, 5.684, 0.000], [0.000, 0.000, 5.684]], "species": ["Pb", "Pb", "Pb", "Co", "Br"], "fractional_positions": [[0.000, 0.500, 0.000], [0.000, 0.000, 0.500], [0.500, 0.000, 0.000], [0.500, 0.500, 0.500], [0.000, 0.000, 0.000]], "de_polymorph_ev_per_atom": 1.079, "rho_g_cm3": 6.875, "m_tot_mub_per_fu": 2.1, "e_form_raw_mev_per_atom": 1072}

Entry 8:
{"formula": "Co4PbBr", "functional": "PBE", "state": "relaxed", "lattice": [[-4.458, 0.411, 2.450], [-2.581, 4.401, -0.121], [-4.347, 0.337, -2.652]], "species": ["Co", "Co", "Co", "Co", "Pb", "Br"], "fractional_positions": [[0.875, 0.375, 0.375], [0.375, 0.375, 0.875], [0.375, 0.875, 0.375], [0.375, 0.375, 0.375], [0.750, 0.750, 0.750], [0.000, 0.000, 0.000]], "rho_g_cm3": 9.236, "m_tot_mub_per_fu": 7.0, "e_form_raw_mev_per_atom": 643}

Entry 9:
{"formula": "Co3PbBr9", "functional": "PBE", "state": "relaxed", "lattice": [[8.726, 0.000, 3.672], [4.032, 9.495, 2.623], [0.314, -0.318, 11.458]], "species": ["Co", "Co", "Co", "Co", "Co", "Co", "Pb", "Pb", "Br", "Br", "Br", "Br", "Br", "Br", "Br", "Br", "Br", "Br", "Br", "Br", "Br", "Br", "Br", "Br", "Br", "Br"], "fractional_positions": [[0.813, 0.536, 0.673], [0.978, 0.036, 0.173], [0.991, 0.962, 0.835], [0.212, 0.462, 0.335], [0.615, 0.250, 0.709], [0.426, 0.750, 0.209], [0.024, 0.496, 0.997], [0.483, 0.996, 0.497], [0.302, 0.218, 0.330], [0.151, 0.718, 0.830], [0.420, 0.327, 0.912], [0.341, 0.827, 0.412], [0.171, 0.082, 0.732], [0.015, 0.582, 0.232], [0.695, 0.752, 0.076], [0.478, 0.252, 0.576], [0.866, 0.931, 0.372], [0.832, 0.431, 0.872], [0.594, 0.759, 0.698], [0.950, 0.259, 0.198], [0.461, 0.510, 0.229], [0.800, 0.010, 0.729], [0.781, 0.382, 0.573], [0.264, 0.882, 0.073], [0.825, 0.054, 0.043], [0.079, 0.554, 0.543]], "rho_g_cm3": 3.893, "m_tot_mub_per_fu": 10.0, "e_form_raw_mev_per_atom": -405}

Entry 10:
{"formula": "RbCo2PbBr8", "functional": "PBE", "state": "relaxed", "lattice": [[6.957, 0.000, 0.000], [3.478, 6.025, 0.000], [3.478, 2.008, 10.081]], "species": ["Rb", "Co", "Co", "Pb", "Br", "Br", "Br", "Br", "Br", "Br", "Br", "Br"], "fractional_positions": [[0.500, 0.500, 0.500], [0.249, 0.249, 0.254], [0.751, 0.751, 0.746], [0.000, 0.000, 0.000], [0.172, 0.172, 0.484], [0.585, 0.297, 0.179], [0.828, 0.828, 0.516], [0.940, 0.585, 0.179], [0.060, 0.415, 0.821], [0.297, 0.940, 0.179], [0.703, 0.060, 0.821], [0.415, 0.703, 0.821]], "rho_g_cm3": 4.125, "m_tot_mub_per_fu": 7.0, "e_form_raw_mev_per_atom": -689}

Entry 11:
{"formula": "Rb2CoPbBr6", "functional": "PBE", "state": "relaxed", "lattice": [[7.873, 0.000, 0.000], [0.000, 7.873, 0.000], [3.937, 3.937, 5.574]], "species": ["Pb", "Co", "Br", "Br", "Br", "Br", "Br", "Br", "Rb", "Rb"], "fractional_positions": [[0.000, 0.000, 0.000], [0.500, 0.500, 0.000], [0.268, 0.268, 0.465], [0.732, 0.732, 0.535], [0.268, 0.268, 0.000], [0.732, 0.732, 0.000], [0.732, 0.268, 0.000], [0.268, 0.732, 0.000], [0.750, 0.250, 0.500], [0.250, 0.750, 0.500]], "rho_g_cm3": 4.405, "m_tot_mub_per_fu": 3.0, "e_form_raw_mev_per_atom": -1011}

Entry 12:
{"formula": "RbCoPb2Br8", "functional": "PBE", "state": "relaxed", "lattice": [[-0.059, -7.059, 0.398], [7.120, -0.069, 0.859], [3.014, 0.426, 8.360]], "species": ["Rb", "Co", "Pb", "Pb", "Br", "Br", "Br", "Br", "Br", "Br", "Br", "Br"], "fractional_positions": [[0.000, 0.000, 0.500], [0.000, 0.000, 0.000], [0.536, 0.250, 0.764], [0.464, 0.750, 0.236], [0.036, 0.692, 0.271], [0.763, 0.822, 0.917], [0.757, 0.136, 0.117], [0.964, 0.308, 0.729], [0.237, 0.178, 0.083], [0.243, 0.864, 0.883], [0.491, 0.717, 0.577], [0.509, 0.283, 0.423]], "rho_g_cm3": 4.933, "m_tot_mub_per_fu": 0.2, "e_form_raw_mev_per_atom": -842}